# CeEr4In4 (PBE, relaxed)
# Calculated formation energy ... -131 meV per atom
data_CeEr4In4
_space_group_name_H-M_alt 'P 42/n m c'
_space_group_IT_number 137
_cell_length_a 7.2847
_cell_length_b 7.2847
_cell_length_c 10.4596
_cell_angle_alpha 90.00
_cell_angle_beta 90.00
_cell_angle_gamma 90.00
loop_
_space_group_symop_operation_xyz
'x,y,z'
'-x,-y,-z'
'-y+1/2,x,z+1/2'
'y+1/2,-x,-z+1/2'
'-x+1/2,-y+1/2,z'
'x+1/2,y+1/2,-z'
'y,-x+1/2,z+1/2'
'-y,x+1/2,-z+1/2'
'x+1/2,-y,-z'
'-x+1/2,y,z'
'-y,-x,-z+1/2'
'y,x,z+1/2'
'-x,y+1/2,-z'
'x,-y+1/2,z'
'y+1/2,x+1/2,-z+1/2'
'-y+1/2,-x+1/2,z+1/2'
loop_
_atom_site_label
_atom_site_type_symbol
_atom_site_fract_x
_atom_site_fract_y
_atom_site_fract_z
Ce1 Ce 0.2500 0.7500 0.2500
Er1 Er 0.0144 0.2500 0.1569
In1 In 0.0421 0.2500 0.4543



# CeEr2In4 (PBE, relaxed)
# Offset from the most stable computed form ... 0 meV per atom
# Calculated formation energy ... -257 meV per atom
data_CeEr2In4
_space_group_name_H-M_alt 'P 4/m m m'
_space_group_IT_number 123
_space_group_name_Hall '-P 4 2'
_cell_length_a 5.1850
_cell_length_b 5.1850
_cell_length_c 7.5805
_cell_angle_alpha 90.00
_cell_angle_beta 90.00
_cell_angle_gamma 90.00
loop_
_atom_site_label
_atom_site_type_symbol
_atom_site_fract_x
_atom_site_fract_y
_atom_site_fract_z
Ce1 Ce 0.0000 0.0000 0.0000
Er1 Er 0.0000 0.0000 0.5000
Er2 Er 0.5000 0.5000 0.0000
In1 In 0.0000 0.5000 0.2750



# CeErIn2 (PBE, relaxed)
# Calculated formation energy ... -405 meV per atom
data_CeErIn2
_space_group_name_H-M_alt 'P 4/m m m'
_space_group_IT_number 123
_space_group_name_Hall '-P 4 2'
_cell_length_a 3.4414
_cell_length_b 3.4414
_cell_length_c 9.0130
_cell_angle_alpha 90.00
_cell_angle_beta 90.00
_cell_angle_gamma 90.00
loop_
_atom_site_label
_atom_site_type_symbol
_atom_site_fract_x
_atom_site_fract_y
_atom_site_fract_z
Ce1 Ce 0.0000 0.0000 0.0000
Er1 Er 0.0000 0.0000 0.5000
In1 In 0.5000 0.5000 0.2581



# Ce2Er2In5 (PBE, relaxed)
# Calculated formation energy ... -169 meV per atom
data_Ce2Er2In5
_space_group_name_H-M_alt 'I m a 2'
_space_group_IT_number 46
_space_group_name_Hall 'I 2 -2a'
_cell_length_a 15.0027
_cell_length_b 10.1161
_cell_length_c 6.8567
_cell_angle_alpha 90.00
_cell_angle_beta 90.00
_cell_angle_gamma 90.00
loop_
_atom_site_label
_atom_site_type_symbol
_atom_site_fract_x
_atom_site_fract_y
_atom_site_fract_z
Ce1 Ce 0.1292 0.0160 0.0000
Er1 Er 0.0000 0.0000 0.5014
Er2 Er 0.2500 0.5169 0.9995
In1 In 0.0436 0.2496 0.2508
In2 In 0.1514 0.7497 0.2494
In3 In 0.2500 0.2501 0.2496



# Ce2ErIn (PBE, relaxed)
# Offset from the most stable computed form ... 157 meV per atom
# Calculated formation energy ... -88 meV per atom
data_Ce2ErIn
_space_group_name_H-M_alt 'P 4/m m m'
_space_group_IT_number 123
_space_group_name_Hall '-P 4 2'
_cell_length_a 4.2035
_cell_length_b 4.2035
_cell_length_c 6.7027
_cell_angle_alpha 90.00
_cell_angle_beta 90.00
_cell_angle_gamma 90.00
loop_
_atom_site_label
_atom_site_type_symbol
_atom_site_fract_x
_atom_site_fract_y
_atom_site_fract_z
Ce1 Ce 0.0000 0.0000 0.2125
Er1 Er 0.5000 0.5000 0.5000
In1 In 0.5000 0.5000 0.0000



# Ce6ErIn2 (PBE, relaxed)
# Calculated formation energy ... -158 meV per atom
data_Ce6ErIn2
_space_group_name_H-M_alt 'C 1 2/m 1'
_space_group_IT_number 12
_space_group_name_Hall '-C 2y'
_cell_length_a 15.9834
_cell_length_b 4.2008
_cell_length_c 7.8312
_cell_angle_alpha 90.00
_cell_angle_beta 111.82
_cell_angle_gamma 90.00
loop_
_atom_site_label
_atom_site_type_symbol
_atom_site_fract_x
_atom_site_fract_y
_atom_site_fract_z
Ce1 Ce 0.1147 0.0000 0.1962
Ce2 Ce 0.1632 0.5000 0.4495
Ce3 Ce 0.2283 0.0000 0.8735
Er1 Er 0.0000 0.0000 0.5000
In1 In 0.0590 0.5000 0.8312



# Ce2ErIn (PBE, relaxed)
# Offset from the most stable computed form ... 33 meV per atom
# Calculated formation energy ... -212 meV per atom
data_Ce2ErIn
_space_group_name_H-M_alt 'P 4/m m m'
_space_group_IT_number 123
_space_group_name_Hall '-P 4 2'
_cell_length_a 4.6081
_cell_length_b 4.6081
_cell_length_c 5.1591
_cell_angle_alpha 90.00
_cell_angle_beta 90.00
_cell_angle_gamma 90.00
loop_
_atom_site_label
_atom_site_type_symbol
_atom_site_fract_x
_atom_site_fract_y
_atom_site_fract_z
Ce1 Ce 0.0000 0.5000 0.0000
Er1 Er 0.0000 0.0000 0.5000
In1 In 0.5000 0.5000 0.5000



# CeEr3In2 (PBE, relaxed)
# Calculated formation energy ... -260 meV per atom
data_CeEr3In2
_space_group_name_H-M_alt 'C m m m'
_space_group_IT_number 65
_space_group_name_Hall '-C 2 2'
_cell_length_a 5.3733
_cell_length_b 16.7497
_cell_length_c 3.6301
_cell_angle_alpha 90.00
_cell_angle_beta 90.00
_cell_angle_gamma 90.00
loop_
_atom_site_label
_atom_site_type_symbol
_atom_site_fract_x
_atom_site_fract_y
_atom_site_fract_z
Ce1 Ce 0.0000 0.0000 0.0000
Er1 Er 0.0000 0.1762 0.5000
Er2 Er 0.0000 0.5000 0.5000
In1 In 0.0000 0.3442 0.0000



# Ce2Er8In (PBE, relaxed)
# Calculated formation energy ... -38 meV per atom
data_Ce2Er8In
_space_group_name_H-M_alt 'C 1 2/m 1'
_space_group_IT_number 12
_space_group_name_Hall '-C 2y'
_cell_length_a 17.7682
_cell_length_b 4.8760
_cell_length_c 7.7362
_cell_angle_alpha 90.00
_cell_angle_beta 104.87
_cell_angle_gamma 90.00
loop_
_atom_site_label
_atom_site_type_symbol
_atom_site_fract_x
_atom_site_fract_y
_atom_site_fract_z
Ce1 Ce 0.2230 0.0000 0.1236
Er1 Er 0.0444 0.0000 0.2280
Er2 Er 0.0916 0.5000 0.9470
Er3 Er 0.1364 0.0000 0.6784
Er4 Er 0.1812 0.5000 0.4058
In1 In 0.0000 0.5000 0.5000



# CeErIn2 (PBE, relaxed)
# Calculated formation energy ... -394 meV per atom
data_CeErIn2
_space_group_name_H-M_alt 'F m -3 m'
_space_group_IT_number 225
_space_group_name_Hall '-F 4 2 3'
_cell_length_a 7.5975
_cell_length_b 7.5975
_cell_length_c 7.5975
_cell_angle_alpha 90.00
_cell_angle_beta 90.00
_cell_angle_gamma 90.00
loop_
_atom_site_label
_atom_site_type_symbol
_atom_site_fract_x
_atom_site_fract_y
_atom_site_fract_z
Ce1 Ce 0.0000 0.0000 0.0000
Er1 Er 0.0000 0.0000 0.5000
In1 In 0.2500 0.2500 0.2500



# CeEr4In5 (PBE, relaxed)
# Calculated formation energy ... -422 meV per atom
data_CeEr4In5
_space_group_name_H-M_alt 'P 4/m m m'
_space_group_IT_number 123
_space_group_name_Hall '-P 4 2'
_cell_length_a 3.4974
_cell_length_b 3.4974
_cell_length_c 21.5194
_cell_angle_alpha 90.00
_cell_angle_beta 90.00
_cell_angle_gamma 90.00
loop_
_atom_site_label
_atom_site_type_symbol
_atom_site_fract_x
_atom_site_fract_y
_atom_site_fract_z
Ce1 Ce 0.0000 0.0000 0.0000
Er1 Er 0.0000 0.0000 0.2048
Er2 Er 0.0000 0.0000 0.4014
In1 In 0.5000 0.5000 0.1056
In2 In 0.5000 0.5000 0.3028
In3 In 0.5000 0.5000 0.5000



# CeErIn2 (PBE, relaxed)
# Calculated formation energy ... -359 meV per atom
data_CeErIn2
_space_group_name_H-M_alt 'P 4/m m m'
_space_group_IT_number 123
_space_group_name_Hall '-P 4 2'
_cell_length_a 5.4165
_cell_length_b 5.4165
_cell_length_c 3.7599
_cell_angle_alpha 90.00
_cell_angle_beta 90.00
_cell_angle_gamma 90.00
loop_
_atom_site_label
_atom_site_type_symbol
_atom_site_fract_x
_atom_site_fract_y
_atom_site_fract_z
Ce1 Ce 0.0000 0.0000 0.0000
Er1 Er 0.5000 0.5000 0.0000
In1 In 0.0000 0.5000 0.5000



Table of density (g/cm3), in record order: 7.59, 7.61, 8.35, 7.59, 7.88, 8.42, 8.52, 8.86, 8.89, 8.13, 8.73, 8.08